1.
A relaxed ZrMn2 crystal. Source: the Alexandria database, functional GGA-PBE.

For the energy relative to the elements, the calculation gives 202 meV per atom. Its size of the total moment is 17.2 Bohr magnetons per cell. The uncorrected energy is -0.64391 Ry per atom.

The space group is C2/m (No. 12) and the conventional cell measures 10.382, 3.603 and 5.584 Å, with angles of 90.00, 114.15 and 90.00 degrees. The asymmetric unit holds Zr at (0.172, 0.000, 0.133), Mn at (0.004, 0.500, 0.737) and Mn at (0.131, 0.000, 0.589).

2.
A relaxed ZrMn2 crystal. Source: the Alexandria database, functional GGA-PBE.

For the energy relative to the elements, the calculation gives 147 meV per atom. Its size of the total moment is 10.1 Bohr magnetons per cell. The uncorrected energy is -0.64790 Ry per atom.

The space group is C2/m (No. 12) and the conventional cell measures 10.142, 2.963 and 6.428 Å, with angles of 90.00, 108.19 and 90.00 degrees. The asymmetric unit holds Zr at (0.007, 0.000, 0.257), Mn at (0.178, 0.500, 0.061) and Mn at (0.201, 0.500, 0.634).

3.
A relaxed ZrMn2 crystal. Source: the Alexandria database, functional GGA-PBE.

For the energy relative to the elements, the calculation gives 902 meV per atom. Its size of the total moment is 20.9 Bohr magnetons per cell. The uncorrected energy is -0.59246 Ry per atom.

The space group is Fm-3m (No. 225) and the conventional cell measures 6.119, 6.119 and 6.119 Å, with angles of 90.00, 90.00 and 90.00 degrees. The asymmetric unit holds Zr at (0.000, 0.000, 0.000) and Mn at (0.250, 0.250, 0.250).

4.
A relaxed Zr2Mn crystal. Source: the Alexandria database, functional GGA-PBE.

For the energy relative to the elements, the calculation gives 642 meV per atom. Its size of the total moment is 13.4 Bohr magnetons per cell. The uncorrected energy is -0.59632 Ry per atom.

The space group is P6_3/mmc (No. 194) and the conventional cell measures 5.6302, 5.6302 and 9.4767 Å, with angles of 90.00, 90.00 and 120.00 degrees. The asymmetric unit holds Zr at (0.0000, 0.0000, 0.0000), Zr at (0.1715, 0.3430, 0.2500) and Mn at (0.3333, 0.6667, 0.5494).

5.
A relaxed Zr5Mn crystal. Source: the Alexandria database, functional GGA-PBE.

For the energy relative to the elements, the calculation gives 19 meV per atom. Its size of the total moment is 0.0 Bohr magnetons per cell. The uncorrected energy is -0.63452 Ry per atom.

The space group is P4/mmm (No. 123) and the conventional cell measures 3.230, 3.230 and 11.987 Å, with angles of 90.00, 90.00 and 90.00 degrees. The asymmetric unit holds Zr at (0.000, 0.000, 0.000), Zr at (0.000, 0.000, 0.370), Zr at (0.500, 0.500, 0.186) and Mn at (0.500, 0.500, 0.500).

6.
A relaxed ZrMn crystal. Source: the Alexandria database, functional GGA-PBE.

For the energy relative to the elements, the calculation gives 69 meV per atom. Its size of the total moment is 0.0 Bohr magnetons per cell. The uncorrected energy is -0.64605 Ry per atom.

The space group is Imma (No. 74) and the conventional cell measures 3.155, 4.379 and 9.453 Å, with angles of 90.00, 90.00 and 90.00 degrees. The asymmetric unit holds Zr at (0.000, 0.250, 0.115) and Mn at (0.000, 0.250, 0.644).

7.
A relaxed Zr2Mn crystal. Source: the Alexandria database, functional GGA-PBE.

For the energy relative to the elements, the calculation gives 229 meV per atom. Its size of the total moment is 0.0 Bohr magnetons per cell. The uncorrected energy is -0.62663 Ry per atom.

The space group is Fm-3m (No. 225) and the conventional cell measures 6.246, 6.246 and 6.246 Å, with angles of 90.00, 90.00 and 90.00 degrees. The asymmetric unit holds Zr at (0.250, 0.250, 0.250) and Mn at (0.000, 0.000, 0.000).

8.
A relaxed ZrMn crystal. Source: the Alexandria database, functional GGA-PBE.

For the energy relative to the elements, the calculation gives 263 meV per atom. Its size of the total moment is 22.3 Bohr magnetons per cell. The uncorrected energy is -0.63177 Ry per atom.

The space group is Fddd (No. 70, origin choice 2) and the conventional cell measures 6.620, 8.554 and 10.097 Å, with angles of 90.00, 90.00 and 90.00 degrees. The asymmetric unit holds Zr at (0.125, 0.323, 0.125) and Mn at (0.044, 0.375, 0.875).